[1]
A plane-wave DFT calculation with PBE was carried out for a relaxed structure of HfAl2Sb.

Summary:
total energy: -0.1913 hartree per atom
total moment: 0.024 μB/atom
space group: F-43m

The structure in POSCAR format:
```
HfAl2Sb
1.0
0.000 3.467 3.467
3.467 0.000 3.467
3.467 3.467 0.000
Sb Hf Al
1 1 2
Cartesian
5.200 5.200 5.200
3.467 3.467 3.467
1.733 1.733 1.733
0.000 0.000 0.000
```



[2]
A plane-wave DFT calculation with PBE was carried out for a relaxed structure of NaCuBi.

Summary:
relative energy among the computed polymorphs: 0.505 eV per atom
space group: F-43m

The structure in POSCAR format:
```
NaCuBi
1.0
0.000 3.353 3.353
3.353 0.000 3.353
3.353 3.353 0.000
Na Bi Cu
1 1 1
Cartesian
0.000 0.000 0.000
1.677 1.677 1.677
5.030 5.030 5.030
```



[3]
A plane-wave DFT calculation with PBE was carried out for a relaxed structure of Nd6SiPt2.

Summary:
total energy: -0.2108 hartree per atom
total moment: 0.010 μB/atom
space group: P-62m

The structure in POSCAR format:
```
Nd6SiPt2
1.0
8.024 0.000 0.000
-4.012 6.949 0.000
0.000 0.000 4.364
Nd Si Pt
6 1 2
Cartesian
2.944 5.100 2.182
4.824 0.000 0.000
-1.068 1.850 2.182
1.600 2.772 0.000
-2.412 4.177 0.000
2.136 0.000 2.182
0.000 0.000 0.000
4.012 2.316 2.182
0.000 4.633 2.182
```



[4]
A plane-wave DFT calculation with PBE was carried out for a relaxed structure of Nd2Au.

Summary:
total energy: -0.1603 hartree per atom
total moment: 0.005 μB/atom
space group: P6/mmm

The structure in POSCAR format:
```
Nd2Au
1.0
-5.016 -0.466 1.308
2.530 -4.039 -2.090
0.860 -0.985 2.945
Nd Au
2 1
Cartesian
0.445 -3.341 0.516
-2.070 -2.150 1.648
0.000 0.000 0.000
```



[5]
A plane-wave DFT calculation with PBE was carried out for a relaxed structure of Pr2TmZn3CdIn2.

Summary:
total energy: -0.1117 hartree per atom
total moment: 0.002 μB/atom
space group: Amm2

The structure in POSCAR format:
```
Pr2TmZn3CdIn2
1.0
-1.604 2.849 -3.316
1.997 -4.787 -5.079
-6.674 -0.480 2.816
Pr Tm Cd In Zn
2 1 1 2 3
Cartesian
-2.840 -0.229 1.177
0.819 -2.047 -2.155
-2.692 -3.031 -1.303
-4.607 -5.188 -2.229
-1.761 -1.926 -4.073
-4.560 -0.536 -1.525
-1.882 0.209 -2.181
0.721 -2.245 -5.548
-5.916 1.051 0.495
```



[6]
A plane-wave DFT calculation with PBE was carried out for a relaxed structure of LaPrBr3N.

Summary:
relative energy among the computed polymorphs: 0.010 eV per atom
total moment: 0.000 μB/atom
space group: C2/m

The structure in POSCAR format:
```
LaPrBr3N
1.0
8.969 -2.056 0.000
8.969 2.056 0.000
-6.195 0.000 9.877
N Br Pr La
2 6 2 2
Cartesian
9.348 0.000 1.482
2.394 0.000 8.396
-3.845 0.000 7.288
3.277 0.000 1.218
8.770 0.000 5.032
8.465 0.000 8.660
15.587 0.000 2.589
2.972 0.000 4.845
11.069 0.000 7.047
0.673 0.000 2.830
7.231 0.000 0.441
4.511 0.000 9.436
```



[7]
A plane-wave DFT calculation with PBE was carried out for a relaxed structure of Lu4Nb2Tl3C3.

Summary:
total energy: -0.2399 hartree per atom
total moment: 0.000 μB/atom
space group: C2/c

The structure in POSCAR format:
```
Lu4Nb2Tl3C3
1.0
5.124 -2.971 0.000
5.124 2.971 0.000
-3.591 0.000 15.141
Tl Lu C Nb
6 8 6 4
Cartesian
2.431 -2.272 11.356
3.986 0.416 11.304
4.227 2.272 3.785
2.673 -0.416 3.837
0.877 0.416 11.407
5.781 -0.416 3.733
7.599 0.433 6.236
7.738 0.529 1.335
0.716 0.529 6.236
-1.080 -0.529 13.806
-0.941 -0.433 8.905
0.854 0.433 1.334
5.943 -0.529 8.905
5.804 -0.433 13.806
4.117 -1.373 7.570
2.562 1.485 0.000
0.767 -1.485 7.570
5.912 1.373 0.000
2.541 1.373 7.570
4.337 -1.373 0.000
4.221 0.521 1.068
4.233 0.521 6.502
2.425 -0.521 8.639
2.438 -0.521 14.073
```



[8]
A plane-wave DFT calculation with PBE was carried out for a relaxed structure of HfCuGePt.

Summary:
total energy: -0.2406 hartree per atom
total moment: 0.000 μB/atom
space group: F-43m

The structure in POSCAR format:
```
HfCuGePt
1.0
-2.516 -2.595 -2.717
-4.494 0.495 -0.073
-2.017 1.807 -3.622
Ge Cu Pt Hf
1 1 1 1
Cartesian
0.000 0.000 0.000
-6.771 -0.220 -4.809
-2.257 -0.073 -1.603
-4.514 -0.147 -3.206
```